Entry 1:
The following is a GGA-PBE calculation of crystalline Pu2O3 at its relaxed geometry, from the Alexandria database.

For the density of states at the Fermi level, the calculation gives 121.02 states/eV/cell. For the formation energy from raw total energies, the calculation gives -3.038 eV/atom.

It has space group Ia-3 (No. 206), with a = 10.896 Å, b = 10.896 Å, c = 10.896 Å, α = 90.00°, β = 90.00° and γ = 90.00°. The asymmetric unit holds Pu at (0.000, 0.250, 0.473), Pu at (0.250, 0.250, 0.250) and O at (0.113, 0.149, 0.620).



Entry 2:
The following is a GGA-PBE calculation of crystalline PuO4 at its relaxed geometry, from the Alexandria database.

For the density of states at the Fermi level, the calculation gives 6.54 states/eV/cell. For the formation energy from raw total energies, the calculation gives -1.315 eV/atom.

It has space group Pm-3m (No. 221), with a = 4.123 Å, b = 4.123 Å, c = 4.123 Å, α = 90.00°, β = 90.00° and γ = 90.00°. The asymmetric unit holds Pu at (0.000, 0.000, 0.000), O at (0.000, 0.000, 0.500) and O at (0.500, 0.500, 0.500).



Entry 3:
The following is a GGA-PBE calculation of crystalline Pu2O3 at its relaxed geometry, from the Alexandria database.

For the density of states at the Fermi level, the calculation gives 8.59 states/eV/cell. For the formation energy from raw total energies, the calculation gives -2.930 eV/atom.

It has space group P-4m2 (No. 115), with a = 3.824 Å, b = 3.824 Å, c = 5.479 Å, α = 90.00°, β = 90.00° and γ = 90.00°. The asymmetric unit holds Pu at (0.000, 0.500, 0.234), O at (0.000, 0.000, 0.000), O at (0.000, 0.000, 0.500) and O at (0.500, 0.500, 0.000).



Entry 4:
The following is a GGA-PBE calculation of crystalline Pu5O6 at its relaxed geometry, from the Alexandria database.

For the density of states at the Fermi level, the calculation gives 65.48 states/eV/cell. For the formation energy from raw total energies, the calculation gives -2.540 eV/atom.

It has space group C2/m (No. 12), with a = 6.001 Å, b = 10.361 Å, c = 6.008 Å, α = 90.00°, β = 108.99° and γ = 90.00°. The asymmetric unit holds Pu at (0.000, 0.000, 0.000), Pu at (0.000, 0.167, 0.500), Pu at (0.000, 0.341, 0.000), O at (0.227, 0.000, 0.747) and O at (0.236, 0.177, 0.242).



Entry 5:
The following is a GGA-PBE calculation of crystalline PuO at its relaxed geometry, from the Alexandria database.

For the density of states at the Fermi level, the calculation gives 13.55 states/eV/cell. For the formation energy from raw total energies, the calculation gives -1.977 eV/atom.

It has space group Cmcm (No. 63), with a = 4.287 Å, b = 8.659 Å, c = 3.195 Å, α = 90.00°, β = 90.00° and γ = 90.00°. The asymmetric unit holds Pu at (0.000, 0.101, 0.250) and O at (0.000, 0.281, 0.750).



Entry 6:
The following is a GGA-PBE calculation of crystalline Pu2O3 at its relaxed geometry, from the Alexandria database.

For the density of states at the Fermi level, the calculation gives 16.37 states/eV/cell. For the formation energy from raw total energies, the calculation gives -2.883 eV/atom.

It has space group Pn-3m (No. 224, origin choice 2), with a = 5.389 Å, b = 5.389 Å, c = 5.389 Å, α = 90.00°, β = 90.00° and γ = 90.00°. The asymmetric unit holds Pu at (0.000, 0.000, 0.000) and O at (0.250, 0.250, 0.750).



Entry 7:
The following is a GGA-PBE calculation of crystalline Pu3O8 at its relaxed geometry, from the Alexandria database.

For the density of states at the Fermi level, the calculation gives 23.37 states/eV/cell. For the formation energy from raw total energies, the calculation gives -2.636 eV/atom.

It has space group R-3 (No. 148, hexagonal axes), with a = 7.8317 Å, b = 7.8317 Å, c = 9.6242 Å, α = 90.00°, β = 90.00° and γ = 120.00°. The asymmetric unit holds Pu at (0.0000, 0.5000, 0.0000), O at (0.0000, 0.0000, 0.3229) and O at (0.0156, 0.6421, 0.7775).



Entry 8:
The following is a GGA-PBE calculation of crystalline PuO3 at its relaxed geometry, from the Alexandria database.

For the density of states at the Fermi level, the calculation gives 13.67 states/eV/cell. For the formation energy from raw total energies, the calculation gives -2.324 eV/atom.

It has space group C2/m (No. 12), with a = 5.897 Å, b = 10.137 Å, c = 5.095 Å, α = 90.00°, β = 106.68° and γ = 90.00°. The asymmetric unit holds Pu at (0.000, 0.166, 0.000), O at (0.170, 0.000, 0.208) and O at (0.223, 0.179, 0.791).



Entry 9:
The following is a GGA-PBE calculation of crystalline Rb4Pu3O10 at its relaxed geometry, from the Alexandria database.

For the density of states at the Fermi level, the calculation gives 25.58 states/eV/cell. For the formation energy from raw total energies, the calculation gives -2.435 eV/atom.

It has space group I4/mmm (No. 139), with a = 4.326 Å, b = 4.326 Å, c = 31.486 Å, α = 90.00°, β = 90.00° and γ = 90.00°. The asymmetric unit holds Rb at (0.000, 0.000, 0.069), Rb at (0.000, 0.000, 0.206), Pu at (0.000, 0.000, 0.363), Pu at (0.000, 0.000, 0.500), O at (0.000, 0.000, 0.301), O at (0.000, 0.000, 0.428), O at (0.000, 0.500, 0.000) and O at (0.000, 0.500, 0.137).



Entry 10:
The following is a GGA-PBE calculation of crystalline RbPu2O8 at its relaxed geometry, from the Alexandria database.

For the density of states at the Fermi level, the calculation gives 17.13 states/eV/cell. For the formation energy from raw total energies, the calculation gives -2.014 eV/atom.

It has space group C2/m (No. 12), with a = 6.445 Å, b = 13.001 Å, c = 4.063 Å, α = 90.00°, β = 90.09° and γ = 90.00°. The asymmetric unit holds Rb at (0.000, 0.000, 0.000), Pu at (0.000, 0.338, 0.500), O at (0.000, 0.305, 0.000), O at (0.000, 0.500, 0.172) and O at (0.214, 0.150, 0.499).



Entry 11:
The following is a GGA-PBE calculation of crystalline RbPu2O4 at its relaxed geometry, from the Alexandria database.

For the density of states at the Fermi level, the calculation gives 10.79 states/eV/cell. For the formation energy from raw total energies, the calculation gives -2.409 eV/atom.

It has space group P-42m (No. 111), with a = 5.163 Å, b = 5.163 Å, c = 6.821 Å, α = 90.00°, β = 90.00° and γ = 90.00°. The asymmetric unit holds Rb at (0.000, 0.000, 0.000), Pu at (0.000, 0.500, 0.500) and O at (0.243, 0.243, 0.336).



Entry 12:
The following is a GGA-PBE calculation of crystalline Rb5PuO4 at its relaxed geometry, from the Alexandria database.

For the density of states at the Fermi level, the calculation gives 16.74 states/eV/cell. For the formation energy from raw total energies, the calculation gives -1.599 eV/atom.

It has space group C2/m (No. 12), with a = 21.913 Å, b = 3.685 Å, c = 8.093 Å, α = 90.00°, β = 104.77° and γ = 90.00°. The asymmetric unit holds Rb at (0.000, 0.000, 0.000), Rb at (0.137, 0.500, 0.371), Rb at (0.139, 0.500, 0.815), Pu at (0.000, 0.000, 0.500), O at (0.000, 0.500, 0.317) and O at (0.096, 0.000, 0.565).